Record 1
A plane-wave DFT calculation with GGA-PBE was carried out for a geometry-optimized Tb2DyTm6Sc3 structure.

Results
DFT total energy (eV/cell): -118.33
Calculated volume (Å³/f.u.): 348.2
Calculated formation energy (eV per atom): 0.044
Crystal system: monoclinic
Calculated density (g cm⁻³): 7.8
Total moment (μB per formula unit): 0.00
DOS(E_F) (states/eV/f.u.): 18.35

```
data_Tb2DyTm6Sc3
_cell_length_a 5.9911
_cell_length_b 10.3691
_cell_length_c 11.3854
_cell_angle_alpha 90.00
_cell_angle_beta 100.08
_cell_angle_gamma 90.00
_space_group_name_H-M_alt 'C 1 2/m 1'
_space_group_IT_number 12
_space_group_name_Hall '-C 2y'
loop_
_atom_site_label
_atom_site_type_symbol
_atom_site_fract_x
_atom_site_fract_y
_atom_site_fract_z
Tb1 Tb 0.0000 0.1667 0.0000
Dy1 Dy 0.0000 0.5000 0.0000
Tm1 Tm 0.2468 0.1666 0.7410
Tm2 Tm 0.2468 0.5000 0.7410
Sc1 Sc 0.0000 0.0000 0.5000
Sc2 Sc 0.0000 0.3333 0.5000
```

***

Record 2
A plane-wave DFT calculation with GGA-PBE was carried out for a geometry-optimized NpZnCdAu structure.

Results
DFT total energy (eV/cell): -73.89
Calculated volume (Å³/f.u.): 84.5
Calculated formation energy (eV per atom): -0.016
Crystal system: cubic
Calculated density (g cm⁻³): 12.0
Total moment (μB per formula unit): 4.10
DOS(E_F) (states/eV/f.u.): 8.99

```
data_NpZnCdAu
_cell_length_a 6.9656
_cell_length_b 6.9656
_cell_length_c 6.9656
_cell_angle_alpha 90.00
_cell_angle_beta 90.00
_cell_angle_gamma 90.00
_space_group_name_H-M_alt 'F -4 3 m'
_space_group_IT_number 216
_space_group_name_Hall 'F -4 2 3'
loop_
_atom_site_label
_atom_site_type_symbol
_atom_site_fract_x
_atom_site_fract_y
_atom_site_fract_z
Np1 Np 0.0000 0.0000 0.0000
Zn1 Zn 0.2500 0.2500 0.2500
Cd1 Cd 0.0000 0.0000 0.5000
Au1 Au 0.2500 0.2500 0.7500
```

***

Record 3
A plane-wave DFT calculation with GGA-PBE was carried out for a geometry-optimized Ac2LaTbS6 structure.

Results
DFT total energy (eV/cell): -127.89
Calculated volume (Å³/f.u.): 280.9
Formation energy (no corrections) (eV per atom): -2.1407
Crystal system: monoclinic
Calculated density (g cm⁻³): 5.6
Total moment (μB per formula unit): 0.00
DOS(E_F) (states/eV/f.u.): 0.00

```
data_Ac2LaTbS6
_cell_length_a 7.0797
_cell_length_b 7.6532
_cell_length_c 12.4988
_cell_angle_alpha 90.00
_cell_angle_beta 123.94
_cell_angle_gamma 90.00
_space_group_name_H-M_alt 'P 1 21/c 1'
_space_group_IT_number 14
_space_group_name_Hall '-P 2ybc'
loop_
_atom_site_label
_atom_site_type_symbol
_atom_site_fract_x
_atom_site_fract_y
_atom_site_fract_z
Ac1 Ac 0.2179 0.0838 0.2497
La1 La 0.5000 0.0000 0.0000
Tb1 Tb 0.0000 0.0000 0.5000
S1 S 0.1059 0.1954 0.9266
S2 S 0.2380 0.6865 0.9290
S3 S 0.3840 0.0572 0.7434
```

***

Record 4
A plane-wave DFT calculation with GGA-PBE was carried out for a geometry-optimized Li2BePb structure.

Results
DFT total energy (eV/cell): -10.81
Calculated volume (Å³/f.u.): 74.0
Calculated formation energy (eV per atom): 0.112
Crystal system: monoclinic
Calculated density (g cm⁻³): 5.2
Total moment (μB per formula unit): 0.00
DOS(E_F) (states/eV/f.u.): 0.87

```
data_Li2BePb
_cell_length_a 3.2292
_cell_length_b 4.2671
_cell_length_c 5.6048
_cell_angle_alpha 90.00
_cell_angle_beta 106.52
_cell_angle_gamma 90.00
_space_group_name_H-M_alt 'P 1 m 1'
_space_group_IT_number 6
_space_group_name_Hall 'P -2y'
loop_
_atom_site_label
_atom_site_type_symbol
_atom_site_fract_x
_atom_site_fract_y
_atom_site_fract_z
Li1 Li 0.0000 0.0000 0.0000
Li2 Li 0.3384 0.5000 0.6829
Be1 Be 0.7419 0.0000 0.4840
Pb1 Pb 0.6148 0.5000 0.2308
```

***

Record 5
A plane-wave DFT calculation with GGA-PBE was carried out for a geometry-optimized ReAgP2 structure.

Results
DFT total energy (eV/cell): -50.66
Calculated volume (Å³/f.u.): 63.7
Calculated formation energy (eV per atom): 0.197
Crystal system: monoclinic
Calculated density (g cm⁻³): 9.3
Total moment (μB per formula unit): 0.00
DOS(E_F) (states/eV/f.u.): 1.97

```
data_ReAgP2
_cell_length_a 7.7697
_cell_length_b 3.1221
_cell_length_c 5.2931
_cell_angle_alpha 90.00
_cell_angle_beta 97.40
_cell_angle_gamma 90.00
_space_group_name_H-M_alt 'C 1 2/m 1'
_space_group_IT_number 12
_space_group_name_Hall '-C 2y'
loop_
_atom_site_label
_atom_site_type_symbol
_atom_site_fract_x
_atom_site_fract_y
_atom_site_fract_z
Re1 Re 0.0000 0.0000 0.0000
Ag1 Ag 0.0000 0.5000 0.5000
P1 P 0.2221 0.5000 0.1888
```

***

Record 6
A plane-wave DFT calculation with GGA-PBE was carried out for a geometry-optimized Dy2Ho3Cd2 structure.

Results
DFT total energy (eV/cell): -77.50
Calculated volume (Å³/f.u.): 196.9
Calculated formation energy (eV per atom): -0.152
Crystal system: trigonal
Calculated density (g cm⁻³): 8.8
Total moment (μB per formula unit): 0.00
DOS(E_F) (states/eV/f.u.): 7.69

```
data_Dy2Ho3Cd2
_cell_length_a 5.3561
_cell_length_b 5.3561
_cell_length_c 23.7673
_cell_angle_alpha 90.00
_cell_angle_beta 90.00
_cell_angle_gamma 120.00
_space_group_name_H-M_alt 'R -3 m'
_space_group_IT_number 166
_space_group_name_Hall '-R 3 2"'
loop_
_atom_site_label
_atom_site_type_symbol
_atom_site_fract_x
_atom_site_fract_y
_atom_site_fract_z
Dy1 Dy 0.0000 0.0000 0.0742
Ho1 Ho 0.0000 0.0000 0.3436
Ho2 Ho 0.0000 0.0000 0.5000
Cd1 Cd 0.0000 0.0000 0.2118
```

***

Record 7
A plane-wave DFT calculation with GGA-PBE was carried out for a geometry-optimized PrEr3Sb2 structure.

Results
DFT total energy (eV/cell): -123.18
Calculated volume (Å³/f.u.): 177.0
Formation energy (no corrections) (eV per atom): -0.6802
Crystal system: monoclinic
Calculated density (g cm⁻³): 8.3
Total moment (μB per formula unit): 0.00
DOS(E_F) (states/eV/f.u.): 5.84

```
data_PrEr3Sb2
_cell_length_a 18.3756
_cell_length_b 4.3350
_cell_length_c 9.6847
_cell_angle_alpha 90.00
_cell_angle_beta 113.40
_cell_angle_gamma 90.00
_space_group_name_H-M_alt 'C 1 2/m 1'
_space_group_IT_number 12
_space_group_name_Hall '-C 2y'
loop_
_atom_site_label
_atom_site_type_symbol
_atom_site_fract_x
_atom_site_fract_y
_atom_site_fract_z
Pr1 Pr 0.1114 0.0000 0.1225
Er1 Er 0.0576 0.0000 0.6745
Er2 Er 0.1419 0.5000 0.4765
Er3 Er 0.1885 0.5000 0.8887
Sb1 Sb 0.0126 0.5000 0.8441
Sb2 Sb 0.2448 0.0000 0.7113
```

***

Record 8
A plane-wave DFT calculation with GGA-PBE was carried out for a geometry-optimized LiSm3Pa3Se8 structure.

Results
DFT total energy (eV/cell): -285.92
Calculated volume (Å³/f.u.): 390.6
Formation energy (no corrections) (eV per atom): -1.5247
Crystal system: trigonal
Calculated density (g cm⁻³): 7.6
Total moment (μB per formula unit): 3.63
DOS(E_F) (states/eV/f.u.): 14.57

```
data_LiSm3Pa3Se8
_cell_length_a 8.1320
_cell_length_b 8.1320
_cell_length_c 20.4631
_cell_angle_alpha 90.00
_cell_angle_beta 90.00
_cell_angle_gamma 120.00
_space_group_name_H-M_alt 'R -3 m'
_space_group_IT_number 166
_space_group_name_Hall '-R 3 2"'
loop_
_atom_site_label
_atom_site_type_symbol
_atom_site_fract_x
_atom_site_fract_y
_atom_site_fract_z
Li1 Li 0.0000 0.0000 0.0000
Sm1 Sm 0.0000 0.5000 0.5000
Pa1 Pa 0.0000 0.5000 0.0000
Se1 Se 0.0000 0.0000 0.2507
Se2 Se 0.0016 0.5008 0.7474
```